Record 1
A relaxed structure of LaCeHoTc. Source: the Alexandria database, functional PBE.

Results
The magnetization comes out at 0.00 Bohr magnetons per cell. As for the energy: -6.385 eV/atom. The formation energy from the elements comes out at 0.066 eV/atom.

Cell lengths 4.4403, 4.4403, 7.2613 Å; angles 107.79, 107.79, 60.09 degrees
Last column: nearest neighbours and their distance in Å.
Fractional coordinates of all 4 atoms:
La1 0.0000 0.0000 0.0000  3 Ce 3.41-3.42, 3 Ho 3.56, 3 Tc 3.64
Ce1 0.5551 0.5551 0.6679  3 Tc 2.58-2.59
Ho1 0.7875 0.7875 0.3638  3 Tc 3.10, 3 Ce 3.29
Tc1 0.2064 0.2064 0.6196  3 Ce 2.58-2.59


Record 2
A relaxed structure of La3Ce2HoTe6. Source: the Alexandria database, functional PBE.

Results
The magnetization comes out at 2.22 Bohr magnetons per cell. As for the energy: -5.634 eV/atom. The calculation puts the uncorrected formation energy at -17.53 eV/f.u.

Cell lengths 7.7856, 7.7856, 7.8669 Å; angles 99.51, 99.51, 120.11 degrees
Last column: nearest neighbours and their distance in Å.
Fractional coordinates of all 12 atoms:
La1 0.0000 0.0000 0.0000  6 Te 3.22-3.27
La2 0.3302 0.6698 0.0000  6 Te 3.22-3.25
La3 0.6698 0.3302 0.0000  6 Te 3.22-3.25
Ce1 0.1658 0.8342 0.5000  6 Te 3.17
Ce2 0.8342 0.1658 0.5000  6 Te 3.17
Ho1 0.5000 0.5000 0.5000  6 Te 3.09-3.11
Te1 0.0946 0.4210 0.2613  1 Ho 3.09, 2 Ce 3.17, 3 La 3.22-3.25
Te2 0.2553 0.2553 0.7426  1 Ho 3.11, 2 Ce 3.17, 3 La 3.23-3.27
Te3 0.4210 0.0946 0.2613  1 Ho 3.09, 2 Ce 3.17, 3 La 3.22-3.25
Te4 0.5790 0.9054 0.7387  1 Ho 3.09, 2 Ce 3.17, 3 La 3.22-3.25
Te5 0.7447 0.7447 0.2574  1 Ho 3.11, 2 Ce 3.17, 3 La 3.23-3.27
Te6 0.9054 0.5790 0.7387  1 Ho 3.09, 2 Ce 3.17, 3 La 3.22-3.25